No. 1
Density functional theory data (PBE-GGA) for an optimized crystal structure of La4FePb2.

It has space group I4/mmm (No. 139), with a = 5.021 Å, b = 5.021 Å, c = 17.774 Å, α = 90.00°, β = 90.00° and γ = 90.00°. The distinct sites, in fractional coordinates, are La at (0.000, 0.000, 0.172), La at (0.000, 0.500, 0.000), Fe at (0.000, 0.000, 0.000) and Pb at (0.000, 0.000, 0.358).

Its crystal system is tetragonal. Its formation enthalpy at 0 K is -368 meV/atom.



No. 2
Density functional theory data (PBE-GGA) for an optimized crystal structure of PSe2.

It has space group P6/mmm (No. 191), with a = 5.0336 Å, b = 5.0336 Å, c = 2.6490 Å, α = 90.00°, β = 90.00° and γ = 120.00°. The distinct sites, in fractional coordinates, are P at (0.0000, 0.0000, 0.0000) and Se at (0.3333, 0.6667, 0.5000).

Its crystal system is hexagonal. As for the distance to the lowest polymorph of the same formula: 776 meV per atom.



No. 3
Density functional theory data (PBE-GGA) for an optimized crystal structure of Tb3Dy2Th4.

It has space group C2/m (No. 12), with a = 15.073 Å, b = 5.044 Å, c = 8.027 Å, α = 90.00°, β = 108.69° and γ = 90.00°. The distinct sites, in fractional coordinates, are Tb at (0.000, 0.000, 0.000), Tb at (0.115, 0.000, 0.671), Dy at (0.059, 0.500, 0.333), Th at (0.169, 0.500, 0.004) and Th at (0.223, 0.000, 0.333).

Its crystal system is monoclinic. Its formation enthalpy at 0 K is 36 meV/atom.



No. 4
Density functional theory data (PBE-GGA) for an optimized crystal structure of YZn10Cd.

It has space group Pmmm (No. 47), with a = 4.287 Å, b = 5.228 Å, c = 9.196 Å, α = 90.00°, β = 90.00° and γ = 90.00°. The distinct sites, in fractional coordinates, are Y at (0.000, 0.000, 0.000), Zn at (0.000, 0.000, 0.342), Zn at (0.000, 0.500, 0.185), Zn at (0.500, 0.000, 0.500), Zn at (0.500, 0.240, 0.237), Zn at (0.500, 0.500, 0.000) and Cd at (0.000, 0.500, 0.500).

Its crystal system is orthorhombic. Its formation enthalpy at 0 K is -114 meV/atom.



No. 5
Density functional theory data (PBE-GGA) for an optimized crystal structure of Ce4BiTeAs2.

It has space group P2/m (No. 10), with a = 7.528 Å, b = 4.347 Å, c = 7.695 Å, α = 90.00°, β = 109.02° and γ = 90.00°. The distinct sites, in fractional coordinates, are Ce at (0.241, 0.000, 0.225), Ce at (0.257, 0.500, 0.775), Bi at (0.500, 0.500, 0.500), Te at (0.000, 0.000, 0.500), As at (0.000, 0.500, 0.000) and As at (0.500, 0.000, 0.000).

Its crystal system is monoclinic.



No. 6
Density functional theory data (PBE-GGA) for an optimized crystal structure of Sr2TlAgBr6.

It has space group P1 (No. 1), with a = 7.774 Å, b = 7.779 Å, c = 8.331 Å, α = 62.22°, β = 62.19° and γ = 60.04°. The distinct sites, in fractional coordinates, are Sr at (0.000, 0.000, 0.000), Sr at (0.491, 0.492, 0.525), Tl at (0.198, 0.198, 0.405), Ag at (0.687, 0.687, 0.938), Br at (0.076, 0.768, 0.740), Br at (0.288, 0.624, 0.222), Br at (0.416, 0.077, 0.740), Br at (0.624, 0.865, 0.223), Br at (0.768, 0.415, 0.740) and Br at (0.866, 0.288, 0.223).

Its crystal system is triclinic.



No. 7
Density functional theory data (PBE-GGA) for an optimized crystal structure of PmHfNbO6.

It has space group P-31c (No. 163), with a = 5.4076 Å, b = 5.4076 Å, c = 10.0149 Å, α = 90.00°, β = 90.00° and γ = 120.00°. The distinct sites, in fractional coordinates, are Pm at (0.0000, 0.0000, 0.0000), Hf at (0.3333, 0.6667, 0.2500), Nb at (0.3333, 0.6667, 0.7500) and O at (0.0089, 0.3650, 0.6399).

Its crystal system is trigonal.



No. 8
Density functional theory data (PBE-GGA) for an optimized crystal structure of DySbO2.

It has space group R-3m (No. 166, hexagonal axes), with a = 3.7302 Å, b = 3.7302 Å, c = 19.4142 Å, α = 90.00°, β = 90.00° and γ = 120.00°. The distinct sites, in fractional coordinates, are Dy at (0.0000, 0.0000, 0.0000), Sb at (0.0000, 0.0000, 0.5000) and O at (0.0000, 0.0000, 0.1121).

Its crystal system is trigonal.



No. 9
Density functional theory data (PBE-GGA) for an optimized crystal structure of Sc3ZnSn.

It has space group Pm-3m (No. 221), with a = 4.991 Å, b = 4.991 Å, c = 4.991 Å, α = 90.00°, β = 90.00° and γ = 90.00°. The distinct sites, in fractional coordinates, are Sc at (0.000, 0.000, 0.500), Zn at (0.000, 0.000, 0.000) and Sn at (0.500, 0.500, 0.500).

Its crystal system is cubic. As for the distance to the lowest polymorph of the same formula: 186 meV per atom. Its formation enthalpy at 0 K is -68 meV/atom.



No. 10
Density functional theory data (PBE-GGA) for an optimized crystal structure of CaYRh2.

It has space group Fm-3m (No. 225), with a = 6.844 Å, b = 6.844 Å, c = 6.844 Å, α = 90.00°, β = 90.00° and γ = 90.00°. The distinct sites, in fractional coordinates, are Ca at (0.000, 0.000, 0.000), Y at (0.000, 0.000, 0.500) and Rh at (0.250, 0.250, 0.250).

Its crystal system is cubic. As for the distance to the lowest polymorph of the same formula: 23 meV per atom. Its formation enthalpy at 0 K is -602 meV/atom.



No. 11
Density functional theory data (PBE-GGA) for an optimized crystal structure of Ca3YAu4.

It has space group Im-3m (No. 229), with a = 7.239 Å, b = 7.239 Å, c = 7.239 Å, α = 90.00°, β = 90.00° and γ = 90.00°. The distinct sites, in fractional coordinates, are Ca at (0.000, 0.000, 0.500), Y at (0.000, 0.000, 0.000) and Au at (0.250, 0.250, 0.250).

Its crystal system is cubic. Its formation enthalpy at 0 K is -797 meV/atom.



No. 12
Density functional theory data (PBE-GGA) for an optimized crystal structure of Cs2V2Rh.

It has space group I4/mmm (No. 139), with a = 4.412 Å, b = 4.412 Å, c = 14.942 Å, α = 90.00°, β = 90.00° and γ = 90.00°. The distinct sites, in fractional coordinates, are Cs at (0.000, 0.500, 0.250), V at (0.000, 0.000, 0.060) and Rh at (0.000, 0.000, 0.500).

Its crystal system is tetragonal. As for the distance to the lowest polymorph of the same formula: 573 meV per atom. Its formation enthalpy at 0 K is 1604 meV/atom.



No. 13
Density functional theory data (PBE-GGA) for an optimized crystal structure of TbZr2Al.

It has space group P4/mmm (No. 123), with a = 4.508 Å, b = 4.508 Å, c = 4.463 Å, α = 90.00°, β = 90.00° and γ = 90.00°. The distinct sites, in fractional coordinates, are Tb at (0.000, 0.000, 0.000), Zr at (0.000, 0.500, 0.500) and Al at (0.500, 0.500, 0.000).

Its crystal system is tetragonal. As for the distance to the lowest polymorph of the same formula: 0 meV per atom. Its formation enthalpy at 0 K is -185 meV/atom.



no.,VASP energy (eV/atom)
1,-5.453
2,-3.321
3,-5.828
4,-1.790
5,-6.266
6,-3.345
7,-9.218
8,-5.985
9,-4.922
10,-6.394
11,-3.995
12,-3.855
13,-6.552